1.
# CrCuBr2

Crystalline CrCuBr2 at its relaxed geometry (GGA-PBEsol, Alexandria via LeMat-Bulk).

Cell and atoms, written as CIF:
```
data_CrCuBr2
_space_group_name_H-M_alt 'P 1'
_space_group_IT_number 1
_space_group_name_Hall 'P 1'
_cell_length_a 4.7439
_cell_length_b 4.7439
_cell_length_c 4.7439
_cell_angle_alpha 60.00
_cell_angle_beta 60.00
_cell_angle_gamma 60.00
loop_
_atom_site_label
_atom_site_fract_x
_atom_site_fract_y
_atom_site_fract_z
Cu1 0.5000 0.5000 0.5000
Br1 0.2500 0.2500 0.2500
Br2 0.7500 0.7500 0.7500
Cr1 0.0000 0.0000 0.0000
```

Output
E_form (uncorrected): 0.33 eV per atom
SG: Fm-3m
magnetic moment: 4.8 μB/f.u.
DFT total energy: -4.2450 eV per atom



2.
# CrCu2Br

Crystalline CrCu2Br at its relaxed geometry (GGA-PBEsol, Alexandria via LeMat-Bulk).

Cell and atoms, written as CIF:
```
data_CrCu2Br
_space_group_name_H-M_alt 'P 1'
_space_group_IT_number 1
_space_group_name_Hall 'P 1'
_cell_length_a 3.1643
_cell_length_b 3.1909
_cell_length_c 6.4809
_cell_angle_alpha 104.04
_cell_angle_beta 90.00
_cell_angle_gamma 90.00
loop_
_atom_site_label
_atom_site_fract_x
_atom_site_fract_y
_atom_site_fract_z
Cu1 0.5000 0.5267 0.1816
Cu2 0.0000 0.9436 0.0145
Cr1 0.5000 0.3307 0.7840
Br1 0.0000 0.6991 0.5198
```

Output
E_form (uncorrected): 0.39 eV per atom
SG: Pm
magnetic moment: 4.1 μB/f.u.
DFT total energy: -4.8061 eV per atom



3.
# CrCuBr2

Crystalline CrCuBr2 at its relaxed geometry (GGA-PBEsol, Alexandria via LeMat-Bulk).

Cell and atoms, written as CIF:
```
data_CrCuBr2
_space_group_name_H-M_alt 'P 1'
_space_group_IT_number 1
_space_group_name_Hall 'P 1'
_cell_length_a 3.8124
_cell_length_b 3.8527
_cell_length_c 6.3561
_cell_angle_alpha 94.68
_cell_angle_beta 90.00
_cell_angle_gamma 90.00
loop_
_atom_site_label
_atom_site_fract_x
_atom_site_fract_y
_atom_site_fract_z
Cr1 0.0000 0.5162 0.5711
Cu1 0.5000 0.0401 0.6842
Br1 0.0000 0.1920 0.9051
Br2 0.5000 0.7518 0.3396
```

Output
E_form (uncorrected): 0.03 eV per atom
SG: Pm
magnetic moment: 5.0 μB/f.u.
DFT total energy: -4.5448 eV per atom